# 1
A plane-wave DFT calculation with PBE was carried out for an optimized crystal structure of Sr2ZrCo.

Structure (CIF):
```
data_Sr2ZrCo
_chemical_formula_sum 'Sr2 Zr1 Co1'
_cell_length_a 9.705
_cell_length_b 9.705
_cell_length_c 3.860
_cell_angle_alpha 78.55
_cell_angle_beta 78.55
_cell_angle_gamma 20.63
_symmetry_space_group_name_H-M 'P 1'
_symmetry_Int_Tables_number 1
_symmetry_space_group_name_Hall 'P 1'
loop_
_atom_site_label
_atom_site_fract_x
_atom_site_fract_y
_atom_site_fract_z
_atom_site_occupancy
Co1 0.250 0.250 0.250 1
Sr1 0.905 0.905 0.095 1
Sr2 0.595 0.595 0.405 1
Zr1 0.750 0.750 0.750 1
```

Properties
As for the volume: 31.36 Å³/atom. The calculation puts the raw total energy at -4.492 eV/atom. The calculation puts the formation energy at 263 meV/atom. The density of states at the Fermi level is 1.307 states/eV/atom. Its total magnetization is 0.2 μB/f.u. As for the space group: Immm, No. 71.



# 2
A plane-wave DFT calculation with PBE was carried out for an optimized crystal structure of AlPt2Se4.

Structure (CIF):
```
data_AlPt2Se4
_chemical_formula_sum 'Al1 Pt2 Se4'
_cell_length_a 5.013
_cell_length_b 5.013
_cell_length_c 7.111
_cell_angle_alpha 69.36
_cell_angle_beta 69.36
_cell_angle_gamma 90.00
_symmetry_space_group_name_H-M 'P 1'
_symmetry_Int_Tables_number 1
_symmetry_space_group_name_Hall 'P 1'
loop_
_atom_site_label
_atom_site_fract_x
_atom_site_fract_y
_atom_site_fract_z
_atom_site_occupancy
Se1 0.797 0.797 0.407 1
Se2 0.203 0.203 0.593 1
Se3 0.000 0.500 0.000 1
Se4 0.500 0.000 0.000 1
Pt1 0.605 0.605 0.790 1
Pt2 0.395 0.395 0.210 1
Al1 0.000 0.000 0.000 1
```

Properties
As for the volume: 22.13 Å³/atom. The calculation puts the raw total energy at -4.062 eV/atom. The density of states at the Fermi level is 1.021 states/eV/atom. Its total magnetization is 1.3 μB/f.u. As for the space group: I4/mmm, No. 139.